(1)
# Pm6Sb3As2S

An optimized crystal structure of Pm6Sb3As2S (PBE, the Alexandria database).

The value obtained for the uncorrected formation energy is -1.4302 eV per atom. For the density of states at the Fermi level, the calculation gives 4.36 states/eV per cell.

The structure belongs to space group C2/m (No. 12); the cell edges are 18.9227, 4.3274 and 8.6985 Å and the angles 90.00°, 103.70° and 90.00°. Symmetry generates all atoms from Pm at (0.0033, 0.0000, 0.2408), Pm at (0.1624, 0.5000, 0.0924), Pm at (0.1703, 0.5000, 0.5740), Sb at (0.0000, 0.5000, 0.5000), Sb at (0.1666, 0.0000, 0.8342), As at (0.1657, 0.0000, 0.3316) and S at (0.0000, 0.5000, 0.0000).

(2)
# CeTaS2

An optimized crystal structure of CeTaS2 (PBE, the Alexandria database).

The value obtained for the uncorrected formation energy is -0.7949 eV per atom. For the density of states at the Fermi level, the calculation gives 14.33 states/eV per cell.

The structure belongs to space group R-3m (No. 166, hexagonal axes); the cell edges are 3.3273, 3.3273 and 26.8618 Å and the angles 90.00°, 90.00° and 120.00°. Symmetry generates all atoms from Ce at (0.0000, 0.0000, 0.0000), Ta at (0.0000, 0.0000, 0.5000) and S at (0.0000, 0.0000, 0.1072).